# 1
Density functional theory data (PBE) for crystalline NdDyPt4Pb2 at its relaxed geometry.

abc: 4.6934 4.6934 9.1332
angles: 90.00 90.00 120.00
Space group P-6m2 (No. 187)
One atom of each set of equivalent atoms:
Nd 0.0000 0.0000 0.0000
Dy 0.6667 0.3333 0.5000
Pt 0.0000 0.0000 0.3482
Pt 0.6667 0.3333 0.1583
Pb 0.3333 0.6667 0.2541

Results
raw total energy: -5.88 eV per atom


# 2
Density functional theory data (PBE) for crystalline NaHfTe3Pd at its relaxed geometry.

abc: 8.3227 3.9491 10.4881
angles: 90.00 110.12 90.00
Space group P2_1/m (No. 11)
One atom of each set of equivalent atoms:
Na 0.2328 0.2500 0.2092
Hf 0.2099 0.7500 0.6791
Te 0.0668 0.7500 0.3734
Te 0.2336 0.7500 0.9575
Te 0.4400 0.2500 0.6413
Pd 0.4126 0.2500 0.8909

Results
raw total energy: -5.07 eV per atom


# 3
Density functional theory data (PBE) for crystalline Sc3Zn2Co3 at its relaxed geometry.

abc: 5.9355 5.9355 4.0655
angles: 90.00 90.00 120.00
Space group P-6m2 (No. 187)
One atom of each set of equivalent atoms:
Sc 0.0112 0.5056 0.0000
Zn 0.0000 0.0000 0.0000
Zn 0.6667 0.3333 0.5000
Co 0.1579 0.3157 0.5000

Results
formation energy from the elements: 3 kJ per mole of atoms


# 4
Density functional theory data (PBE) for crystalline AlTcB2 at its relaxed geometry.

abc: 5.5340 5.5340 5.5340
angles: 90.00 90.00 90.00
Space group F-43m (No. 216)
One atom of each set of equivalent atoms:
Al 0.0000 0.0000 0.0000
Tc 0.2500 0.2500 0.7500
B 0.0000 0.0000 0.5000
B 0.2500 0.2500 0.2500

Results
raw total energy: -5.77 eV per atom


# 5
Density functional theory data (PBE) for crystalline Zr2SiGe2 at its relaxed geometry.

abc: 3.6020 3.6020 14.7916
angles: 90.00 90.00 90.00
Space group I4/mmm (No. 139)
One atom of each set of equivalent atoms:
Zr 0.0000 0.0000 0.1003
Si 0.0000 0.0000 0.5000
Ge 0.0000 0.5000 0.2500

Results
raw total energy: -6.75 eV per atom


# 6
Density functional theory data (PBE) for crystalline Li2ScAl2Cu2Pt at its relaxed geometry.

abc: 4.2602 4.2602 6.4569
angles: 90.00 90.00 90.00
Space group P-4m2 (No. 115)
One atom of each set of equivalent atoms:
Li 0.0000 0.5000 0.2261
Sc 0.0000 0.0000 0.5000
Al 0.0000 0.5000 0.7863
Cu 0.0000 0.0000 0.0000
Cu 0.5000 0.5000 0.5000
Pt 0.5000 0.5000 0.0000

Results
raw total energy: -4.24 eV per atom


# 7
Density functional theory data (PBE) for crystalline CdInCoTc at its relaxed geometry.

abc: 6.4126 6.4126 6.4126
angles: 90.00 90.00 90.00
Space group F-43m (No. 216)
One atom of each set of equivalent atoms:
Cd 0.0000 0.0000 0.0000
In 0.0000 0.0000 0.5000
Co 0.2500 0.2500 0.7500
Tc 0.2500 0.2500 0.2500

Results
raw total energy: -4.82 eV per atom


# 8
Density functional theory data (PBE) for crystalline Zn2Ge2As3P at its relaxed geometry.

abc: 12.5227 5.6850 5.6733
angles: 90.00 116.64 90.00
Space group C2 (No. 5)
One atom of each set of equivalent atoms:
Zn 0.1211 0.0000 0.3624
Ge 0.1232 0.4849 0.8796
As 0.0000 0.7398 0.5000
As 0.2500 0.2406 0.7475
P 0.0000 0.2450 0.0000

Results
raw total energy: -4.07 eV per atom